Material: KSiAu2
Method: DFT, SCAN
State: PBEsol geometry

Cell and atoms, written as POSCAR:
```
KSiAu2
1.0
3.433 0.000 0.000
0.000 3.433 0.000
0.000 0.000 7.420
K Si Au
1 1 2
direct
0.000 0.000 0.505
0.500 0.500 0.841
0.000 0.000 0.971
0.500 0.500 0.183
```

Computed properties:
M_tot in μB/f.u.: 0.000
Electronic total energy in eV/cell: -156.672
V in Å³/atom: 21.856

Material: B3RhO
Method: DFT, SCAN
State: PBEsol geometry

Cell and atoms, written as POSCAR:
```
B3RhO
1.0
3.982 0.000 0.000
0.000 3.982 0.000
0.000 0.000 3.982
B O Rh
3 1 1
direct
0.500 0.000 0.000
0.000 0.500 0.000
0.000 0.000 0.500
0.500 0.500 0.500
0.000 0.000 0.000
```

Computed properties:
M_tot in μB/f.u.: 1.668
Electronic total energy in eV/cell: -56.214
V in Å³/atom: 12.624

Material: Zn3Fe5
Method: DFT, SCAN
State: PBEsol geometry

Cell and atoms, written as POSCAR:
```
Zn3Fe5
1.0
-2.389 1.213 -2.303
3.089 -1.328 -3.904
-2.230 -4.643 -0.132
Zn Fe
3 5
direct
0.500 0.248 0.752
0.000 0.500 0.500
0.500 0.752 0.248
0.500 0.243 0.243
0.000 0.000 0.000
0.000 0.000 0.500
0.500 0.757 0.757
0.000 0.500 0.000
```

Computed properties:
M_tot in μB/f.u.: 12.409
Energy relative to the elements in kJ/mol of atoms: -5
V in Å³/atom: 11.723

Material: TcTeMo
Method: DFT, SCAN
State: PBEsol geometry

Cell and atoms, written as POSCAR:
```
TcTeMo
1.0
-1.290 2.578 0.688
-3.251 -0.866 -2.853
-0.349 -1.297 4.202
Mo Te Tc
1 1 1
direct
0.500 0.000 0.000
0.000 0.333 0.667
0.000 0.667 0.333
```

Computed properties:
Excess energy over the best structure of this formula in the dataset in meV per atom: 0
M_tot in μB/f.u.: 0.000
V in Å³/atom: 16.646

Material: ReSi2P3O15
Method: DFT, SCAN
State: PBEsol geometry

Cell and atoms, written as POSCAR:
```
ReSi2P3O15
1.0
-1.509 -2.781 -7.265
-3.987 -6.784 -0.882
-10.667 2.510 0.196
O P Si Re
30 6 4 2
direct
0.500 0.000 0.000
0.029 0.643 0.875
0.956 0.249 0.705
0.640 0.403 0.123
0.422 0.462 0.296
0.040 0.236 0.929
0.302 0.717 0.073
0.044 0.751 0.295
0.700 0.932 0.207
0.548 0.701 0.208
0.075 0.928 0.877
0.316 0.083 0.207
0.378 0.223 0.508
0.000 0.500 0.500
0.300 0.068 0.793
0.719 0.401 0.499
0.135 0.376 0.297
0.744 0.578 0.928
0.971 0.357 0.125
0.622 0.777 0.492
0.281 0.599 0.501
0.256 0.422 0.072
0.684 0.917 0.793
0.698 0.283 0.927
0.925 0.072 0.123
0.578 0.538 0.704
0.865 0.624 0.703
0.360 0.597 0.877
0.452 0.299 0.792
0.960 0.764 0.071
0.476 0.569 0.171
0.524 0.431 0.829
0.836 0.681 0.826
0.084 0.122 0.827
0.916 0.878 0.173
0.164 0.319 0.174
0.838 0.321 0.026
0.515 0.932 0.153
0.485 0.068 0.847
0.162 0.679 0.974
0.771 0.529 0.577
0.229 0.471 0.423
```

Computed properties:
M_tot in μB/f.u.: 0.000
Electronic total energy in eV/cell: -531.781
V in Å³/atom: 13.543

Material: CaCoTe
Method: DFT, SCAN
State: PBEsol geometry

Cell and atoms, written as POSCAR:
```
CaCoTe
1.0
-3.479 2.029 -2.629
-4.590 -0.365 1.392
-2.324 3.869 1.661
Co Ca Te
1 1 1
direct
0.000 0.000 0.000
0.250 0.250 0.250
0.500 0.500 0.500
```

Computed properties:
Excess energy over the best structure of this formula in the dataset in meV per atom: 432
M_tot in μB/f.u.: 2.107
V in Å³/atom: 26.228

Material: In2SiAu
Method: DFT, SCAN
State: PBEsol geometry

Cell and atoms, written as POSCAR:
```
In2SiAu
1.0
-0.510 -0.480 4.322
-3.574 -3.300 -0.788
4.690 -1.452 0.392
Si In Au
1 2 1
direct
0.000 0.441 0.560
0.000 0.087 0.913
0.500 0.664 0.335
0.500 0.307 0.692
```

Computed properties:
M_tot in μB/f.u.: 0.000
Electronic total energy in eV/cell: -146.098
V in Å³/atom: 22.909

Material: Te2PtRh
Method: DFT, SCAN
State: PBEsol geometry

Cell and atoms, written as POSCAR:
```
Te2PtRh
1.0
3.946 0.000 0.000
1.973 3.417 0.000
1.973 1.139 6.500
Pt Te Rh
1 2 1
direct
0.506 0.506 0.481
0.777 0.777 0.668
0.971 0.971 0.086
0.245 0.245 0.265
```

Computed properties:
Excess energy over the best structure of this formula in the dataset in meV per atom: 0
M_tot in μB/f.u.: 0.000
V in Å³/atom: 21.912